No. 1
! KIn2Pt, optimized geometry, DFT PBE-GGA; values from VASP
&SYSTEM
  ibrav = 0, nat = 4, ntyp = 3
/
ATOMIC_SPECIES
Pt 195.08 Pt.upf
In 114.82 In.upf
K 39.10 K.upf
CELL_PARAMETERS angstrom
8.1979 2.0739 0.0200
5.2087 6.6616 -0.0201
-6.3298 -4.9409 2.6511
ATOMIC_POSITIONS angstrom
Pt 2.5589 2.8929 1.3155
In 1.2008 0.7824 0.0000
In 4.2431 0.7226 1.3355
K 5.7772 3.7643 0.0000
! ΔE_f: -0.22 eV per atom
! symmetry: Imm2 (44)
! VASP energy: -13.508 eV per cell
! size of the total moment: 0.00 Bohr magnetons per cell

No. 2
! DyHo2Tm4, optimized geometry, DFT PBE-GGA; values from VASP
&SYSTEM
  ibrav = 0, nat = 7, ntyp = 3
/
ATOMIC_SPECIES
Dy 162.50 Dy.upf
Ho 164.93 Ho.upf
Tm 168.93 Tm.upf
CELL_PARAMETERS angstrom
-2.8750 -1.2512 -1.6792
3.1886 -0.1732 -1.5633
1.8071 -17.0321 9.5963
ATOMIC_POSITIONS angstrom
Dy 0.8522 -12.4938 4.0829
Ho -0.8466 -2.4279 -0.5085
Ho 0.0005 -7.4547 1.7865
Tm 0.4311 -4.0438 2.2748
Tm 0.1130 -14.4785 6.8273
Tm 2.4457 -9.6131 2.9753
Tm 1.7031 -17.4884 6.3474
! ΔE_f: 0.00 eV per atom
! symmetry: Cm (8)
! VASP energy: -31.633 eV per cell
! size of the total moment: 0.00 Bohr magnetons per cell
! relative energy among the computed polymorphs: 0 meV per atom

No. 3
! TaP2Br, optimized geometry, DFT PBE-GGA; values from VASP
&SYSTEM
  ibrav = 0, nat = 4, ntyp = 3
/
ATOMIC_SPECIES
P 30.97 P.upf
Ta 180.95 Ta.upf
Br 79.90 Br.upf
CELL_PARAMETERS angstrom
2.6209 -2.1061 3.1155
-1.9405 -2.1253 3.5677
0.0432 -4.5772 0.2415
ATOMIC_POSITIONS angstrom
P 0.1809 -2.2021 1.7312
P 0.5428 -6.6064 5.1935
Ta 0.3619 -4.4043 3.4624
Br 0.0000 0.0000 0.0000
! symmetry: Fm-3m (225)
! VASP energy: -21.619 eV per cell
! size of the total moment: 0.00 Bohr magnetons per cell
! uncorrected formation energy: 2.727 eV/f.u.
! relative energy among the computed polymorphs: 1041 meV per atom